Tl2InSe: optimized geometry, PBE.

Geometry as extended XYZ:
```
4
Lattice="6.3534 -0.0053 -0.0519 5.1496 3.7212 -0.0519 2.3586 0.7619 4.9877" Properties=species:S:1:pos:R:3 pbc="T T T"
Tl 2.5493 0.8235 4.6951
Tl 3.3669 1.0876 1.3085
Se 10.7714 3.4795 3.8403
In 6.4635 2.0879 2.4696
```

Properties
DOS(E_F) in states/eV per cell: 1.43
DFT total energy in Ry per atom: -0.217
E_form (uncorrected) in eV/atom: -0.211
Polymorph energy (0 for the lowest one) in kJ/mol of atoms: 1.7
SG: No. 8